This record from Alexandria via LeMat-Bulk describes an optimized crystal structure of LaCu2Os4. The functional is PBE.

Computed properties:
As for the total magnetization: 6.16 μB/f.u. As for the volume: 150.61 Å³/f.u. As for the energy of formation: 2523.8 meV/atom.

Cell and atoms, written as CIF:
```
data_LaCu2Os4
_cell_length_a 4.8158
_cell_length_b 4.8158
_cell_length_c 12.9883
_cell_angle_alpha 90.00
_cell_angle_beta 90.00
_cell_angle_gamma 90.00
_symmetry_space_group_name_H-M 'I 4/m m m'
_symmetry_Int_Tables_number 139
_symmetry_space_group_name_Hall '-I 4 2'
loop_
_atom_site_label
_atom_site_type_symbol
_atom_site_fract_x
_atom_site_fract_y
_atom_site_fract_z
_atom_site_occupancy
La1 La 0.0000 0.0000 0.0000 1
Cu1 Cu 0.0000 0.0000 0.4091 1
Os1 Os 0.0000 0.0000 0.2280 1
Os2 Os 0.0000 0.5000 0.0000 1
```